Record 1
The following is a PBE with a Hubbard U calculation of crystalline LiVGe2O6 at its relaxed geometry, from the Alexandria database.

Unit cell a=9.769 b=8.904 c=5.488 alpha=90.00 beta=103.78 gamma=90.00
Fractional positions:
Li 0.247 0.010 0.460
Li 0.247 0.490 0.960
Li 0.753 0.510 0.040
Li 0.753 0.990 0.540
V 0.248 0.655 0.461
V 0.248 0.845 0.961
V 0.752 0.155 0.039
V 0.752 0.345 0.539
Ge 0.053 0.161 0.818
Ge 0.053 0.339 0.318
Ge 0.454 0.158 0.239
Ge 0.454 0.342 0.739
Ge 0.546 0.658 0.261
Ge 0.546 0.842 0.761
Ge 0.947 0.661 0.682
Ge 0.947 0.839 0.182
O 0.110 0.187 0.151
O 0.110 0.313 0.651
O 0.135 0.000 0.742
O 0.135 0.500 0.242
O 0.135 0.669 0.749
O 0.135 0.831 0.249
O 0.359 0.667 0.178
O 0.359 0.833 0.678
O 0.381 0.519 0.678
O 0.381 0.981 0.178
O 0.383 0.209 0.499
O 0.383 0.291 0.999
O 0.617 0.709 0.001
O 0.617 0.791 0.501
O 0.619 0.019 0.822
O 0.619 0.481 0.322
O 0.641 0.167 0.322
O 0.641 0.333 0.822
O 0.865 0.000 0.258
O 0.865 0.169 0.751
O 0.865 0.331 0.251
O 0.865 0.500 0.758
O 0.890 0.687 0.349
O 0.890 0.813 0.849

---

Record 2
The following is a PBE with a Hubbard U calculation of crystalline Li7VGeO8 at its relaxed geometry, from the Alexandria database.

Unit cell a=5.362 b=6.335 c=10.873 alpha=90.14 beta=90.19 gamma=90.96
Fractional positions:
Li 0.000 0.000 0.000
Li 0.001 0.508 0.501
Li 0.134 0.750 0.737
Li 0.178 0.978 0.498
Li 0.370 0.643 0.367
Li 0.455 0.278 0.590
Li 0.494 0.493 0.827
Li 0.497 0.992 0.826
Li 0.621 0.003 0.314
Li 0.628 0.243 0.086
Li 0.698 0.460 0.311
Li 0.824 0.139 0.486
Li 0.981 0.770 0.238
Li 0.992 0.500 0.000
V 0.487 0.742 0.077
V 0.983 0.246 0.749
Ge 0.143 0.257 0.249
Ge 0.644 0.749 0.580
O 0.002 0.251 0.103
O 0.003 0.046 0.338
O 0.061 0.500 0.326
O 0.087 0.251 0.594
O 0.095 0.469 0.824
O 0.103 0.029 0.825
O 0.161 0.751 0.076
O 0.472 0.245 0.246
O 0.502 0.739 0.725
O 0.527 0.967 0.491
O 0.590 0.510 0.490
O 0.594 0.521 0.000
O 0.598 0.733 0.231
O 0.609 0.962 0.002
O 0.656 0.242 0.748
O 0.974 0.775 0.580

---

Record 3
The following is a PBE with a Hubbard U calculation of crystalline LiVGe2O6 at its relaxed geometry, from the Alexandria database.

Unit cell a=6.614 b=6.614 c=5.335 alpha=98.93 beta=98.93 gamma=84.34
Fractional positions:
Li 0.232 0.768 0.750
Li 0.768 0.232 0.250
V 0.403 0.597 0.250
V 0.597 0.403 0.750
Ge 0.109 0.294 0.780
Ge 0.294 0.109 0.280
Ge 0.706 0.891 0.720
Ge 0.891 0.706 0.220
O 0.078 0.206 0.072
O 0.133 0.628 0.372
O 0.206 0.078 0.572
O 0.306 0.469 0.867
O 0.372 0.867 0.128
O 0.469 0.306 0.367
O 0.531 0.694 0.633
O 0.628 0.133 0.872
O 0.694 0.531 0.133
O 0.794 0.922 0.428
O 0.867 0.372 0.628
O 0.922 0.794 0.928

---

Record 4
The following is a PBE with a Hubbard U calculation of crystalline Li7VGeO8 at its relaxed geometry, from the Alexandria database.

Unit cell a=5.410 b=6.409 c=10.847 alpha=90.00 beta=90.98 gamma=90.00
Fractional positions:
Li 0.000 0.000 0.000
Li 0.005 0.230 0.230
Li 0.005 0.770 0.230
Li 0.157 0.000 0.492
Li 0.241 0.201 0.753
Li 0.241 0.799 0.753
Li 0.480 0.500 0.632
Li 0.522 0.250 0.392
Li 0.522 0.750 0.392
Li 0.632 0.500 0.152
Li 0.639 0.249 0.916
Li 0.639 0.751 0.916
Li 0.894 0.309 0.730
Li 0.894 0.691 0.730
V 0.006 0.500 0.482
V 0.147 0.500 0.976
Ge 0.514 0.000 0.153
Ge 0.663 0.000 0.643
O 0.030 0.500 0.121
O 0.036 0.279 0.893
O 0.036 0.721 0.893
O 0.106 0.500 0.643
O 0.122 0.282 0.411
O 0.122 0.718 0.411
O 0.184 0.000 0.153
O 0.470 0.500 0.977
O 0.530 0.000 0.497
O 0.570 0.231 0.726
O 0.570 0.769 0.726
O 0.631 0.000 0.000
O 0.634 0.227 0.229
O 0.634 0.773 0.229
O 0.683 0.500 0.481
O 0.998 0.000 0.663

---

Record 5
The following is a PBE with a Hubbard U calculation of crystalline Li2VGeO5 at its relaxed geometry, from the Alexandria database.

Unit cell a=6.600 b=6.600 c=4.601 alpha=90.00 beta=90.00 gamma=90.00
Fractional positions:
Li 0.000 0.000 0.000
Li 0.000 0.500 0.000
Li 0.500 0.000 0.000
Li 0.500 0.500 0.000
V 0.250 0.250 0.405
V 0.750 0.750 0.595
Ge 0.250 0.750 0.500
Ge 0.750 0.250 0.500
O 0.036 0.750 0.733
O 0.250 0.250 0.770
O 0.250 0.536 0.267
O 0.250 0.964 0.267
O 0.464 0.750 0.733
O 0.536 0.250 0.267
O 0.750 0.036 0.733
O 0.750 0.464 0.733
O 0.750 0.750 0.230
O 0.964 0.250 0.267

---

Record 6
The following is a PBE with a Hubbard U calculation of crystalline LiV4Ge4O16 at its relaxed geometry, from the Alexandria database.

Unit cell a=4.436 b=4.735 c=11.556 alpha=90.05 beta=90.43 gamma=90.27
Fractional positions:
Li 0.000 0.000 0.000
V 0.001 0.993 0.493
V 0.004 0.494 0.631
V 0.498 0.504 0.129
V 0.501 0.980 0.997
Ge 0.004 0.489 0.878
Ge 0.498 0.493 0.383
Ge 0.507 0.995 0.741
Ge 0.997 0.999 0.245
O 0.226 0.825 0.371
O 0.234 0.826 0.126
O 0.235 0.325 0.753
O 0.249 0.325 0.997
O 0.253 0.321 0.501
O 0.253 0.821 0.625
O 0.268 0.825 0.871
O 0.275 0.324 0.255
O 0.722 0.665 0.255
O 0.741 0.158 0.870
O 0.750 0.667 0.500
O 0.753 0.167 0.624
O 0.755 0.159 0.124
O 0.763 0.656 0.998
O 0.773 0.164 0.371
O 0.773 0.660 0.753

---

| no. | uncorrected energy (eV/atom) | mass density (g/cm3) | spin magnetization (μB/f.u.) |
| --- | --- | --- | --- |
| 1 | -6.698 | 4.3 | 2.0 |
| 2 | -5.865 | 2.7 | 0.1 |
| 3 | -6.692 | 4.4 | 2.0 |
| 4 | -5.836 | 2.7 | 0.1 |
| 5 | -6.505 | 3.6 | 1.0 |
| 6 | -6.879 | 5.2 | 5.0 |